Version A
# BaYCu (PBE-GGA, optimized geometry)
data_BaYCu
_chemical_formula_sum 'Ba4 Y4 Cu4'
_symmetry_space_group_name_H-M 'F -4 3 m'
_symmetry_Int_Tables_number 216
_symmetry_space_group_name_Hall 'F -4 2 3'
_cell_length_a 7.1993
_cell_length_b 7.1993
_cell_length_c 7.1993
_cell_angle_alpha 90.00
_cell_angle_beta 90.00
_cell_angle_gamma 90.00
loop_
_atom_site_label
_atom_site_type_symbol
_atom_site_fract_x
_atom_site_fract_y
_atom_site_fract_z
Ba1 Ba 0.0000 0.0000 0.0000
Y1 Y 0.2500 0.2500 0.7500
Cu1 Cu 0.2500 0.2500 0.2500
# D(E_F) (states/eV/cell): 15.80
# Crystal system: cubic

Version B
# BaYCu (PBE-GGA, optimized geometry)
data_BaYCu
_chemical_formula_sum 'Ba1 Y1 Cu1'
_symmetry_space_group_name_H-M 'P 3 m 1'
_symmetry_Int_Tables_number 156
_cell_length_a 4.2188
_cell_length_b 4.2188
_cell_length_c 7.0207
_cell_angle_alpha 90.00
_cell_angle_beta 90.00
_cell_angle_gamma 120.00
loop_
_symmetry_equiv_pos_as_xyz
'x,y,z'
'-y,x-y,z'
'-x+y,-x,z'
'-y,-x,z'
'-x+y,y,z'
'x,x-y,z'
loop_
_atom_site_label
_atom_site_type_symbol
_atom_site_fract_x
_atom_site_fract_y
_atom_site_fract_z
Ba1 Ba 0.0000 0.0000 0.0000
Y1 Y 0.3333 0.6667 0.5059
Cu1 Cu 0.6667 0.3333 0.3111
# D(E_F) (states/eV/cell): 3.46
# Crystal system: trigonal

Name the least stable of them. version A.

Version A
# BaY2Cu2 (PBE-GGA, optimized geometry)
data_BaY2Cu2
_chemical_formula_sum 'Ba2 Y4 Cu4'
_symmetry_space_group_name_H-M 'P 4/m b m'
_symmetry_Int_Tables_number 127
_symmetry_space_group_name_Hall '-P 4 2ab'
_cell_length_a 8.6078
_cell_length_b 8.6078
_cell_length_c 3.4288
_cell_angle_alpha 90.00
_cell_angle_beta 90.00
_cell_angle_gamma 90.00
loop_
_atom_site_label
_atom_site_type_symbol
_atom_site_fract_x
_atom_site_fract_y
_atom_site_fract_z
Ba1 Ba 0.0000 0.0000 0.0000
Y1 Y 0.1356 0.3644 0.0000
Cu1 Cu 0.1528 0.6528 0.5000
# D(E_F) (states/eV/cell): 6.08
# Crystal system: tetragonal

Version B
# BaY2Cu2 (PBE-GGA, optimized geometry)
data_BaY2Cu2
_chemical_formula_sum 'Ba2 Y4 Cu4'
_symmetry_space_group_name_H-M 'I 4/m m m'
_symmetry_Int_Tables_number 139
_symmetry_space_group_name_Hall '-I 4 2'
_cell_length_a 5.2194
_cell_length_b 5.2194
_cell_length_c 11.2817
_cell_angle_alpha 90.00
_cell_angle_beta 90.00
_cell_angle_gamma 90.00
loop_
_atom_site_label
_atom_site_type_symbol
_atom_site_fract_x
_atom_site_fract_y
_atom_site_fract_z
Ba1 Ba 0.0000 0.0000 0.0000
Y1 Y 0.0000 0.0000 0.3398
Cu1 Cu 0.0000 0.5000 0.2500
# D(E_F) (states/eV/cell): 11.91
# Crystal system: tetragonal

Name the least stable of them. version B.

Version A
# BaY2Cu2 (PBE-GGA, optimized geometry)
data_BaY2Cu2
_chemical_formula_sum 'Ba2 Y4 Cu4'
_symmetry_space_group_name_H-M 'P 4/m b m'
_symmetry_Int_Tables_number 127
_symmetry_space_group_name_Hall '-P 4 2ab'
_cell_length_a 8.2859
_cell_length_b 8.2859
_cell_length_c 3.9086
_cell_angle_alpha 90.00
_cell_angle_beta 90.00
_cell_angle_gamma 90.00
loop_
_atom_site_label
_atom_site_type_symbol
_atom_site_fract_x
_atom_site_fract_y
_atom_site_fract_z
Ba1 Ba 0.0000 0.0000 0.0000
Y1 Y 0.1530 0.3470 0.5000
Cu1 Cu 0.1129 0.6129 0.0000
# D(E_F) (states/eV/cell): 12.06
# Crystal system: tetragonal

Version B
# BaY2Cu2 (PBE-GGA, optimized geometry)
data_BaY2Cu2
_chemical_formula_sum 'Ba2 Y4 Cu4'
_symmetry_space_group_name_H-M 'I 4/m m m'
_symmetry_Int_Tables_number 139
_symmetry_space_group_name_Hall '-I 4 2'
_cell_length_a 4.9242
_cell_length_b 4.9242
_cell_length_c 11.6018
_cell_angle_alpha 90.00
_cell_angle_beta 90.00
_cell_angle_gamma 90.00
loop_
_atom_site_label
_atom_site_type_symbol
_atom_site_fract_x
_atom_site_fract_y
_atom_site_fract_z
Ba1 Ba 0.0000 0.0000 0.0000
Y1 Y 0.0000 0.5000 0.2500
Cu1 Cu 0.0000 0.0000 0.3901
# D(E_F) (states/eV/cell): 8.63
# Crystal system: tetragonal

Name the least stable of them. version A.

Version A
# Ba2Zn2Cu (PBE-GGA, optimized geometry)
data_Ba2Zn2Cu
_chemical_formula_sum 'Ba4 Zn4 Cu2'
_symmetry_space_group_name_H-M 'P 4/m b m'
_symmetry_Int_Tables_number 127
_symmetry_space_group_name_Hall '-P 4 2ab'
_cell_length_a 7.7579
_cell_length_b 7.7579
_cell_length_c 5.0098
_cell_angle_alpha 90.00
_cell_angle_beta 90.00
_cell_angle_gamma 90.00
loop_
_atom_site_label
_atom_site_type_symbol
_atom_site_fract_x
_atom_site_fract_y
_atom_site_fract_z
Ba1 Ba 0.1883 0.3117 0.0000
Zn1 Zn 0.1174 0.6174 0.5000
Cu1 Cu 0.0000 0.0000 0.5000
# D(E_F) (states/eV/cell): 9.51
# Crystal system: tetragonal

Version B
# Ba2Zn2Cu (PBE-GGA, optimized geometry)
data_Ba2Zn2Cu
_chemical_formula_sum 'Ba4 Zn4 Cu2'
_symmetry_space_group_name_H-M 'I 4/m m m'
_symmetry_Int_Tables_number 139
_symmetry_space_group_name_Hall '-I 4 2'
_cell_length_a 6.4837
_cell_length_b 6.4837
_cell_length_c 7.5422
_cell_angle_alpha 90.00
_cell_angle_beta 90.00
_cell_angle_gamma 90.00
loop_
_atom_site_label
_atom_site_type_symbol
_atom_site_fract_x
_atom_site_fract_y
_atom_site_fract_z
Ba1 Ba 0.0000 0.5000 0.2500
Zn1 Zn 0.0000 0.0000 0.1609
Cu1 Cu 0.0000 0.0000 0.5000
# D(E_F) (states/eV/cell): 23.16
# Crystal system: tetragonal

Version C
# Ba2Zn2Cu (PBE-GGA, optimized geometry)
data_Ba2Zn2Cu
_chemical_formula_sum 'Ba6 Zn6 Cu3'
_symmetry_space_group_name_H-M 'R -3 m'
_symmetry_Int_Tables_number 166
_symmetry_space_group_name_Hall '-R 3 2"'
_cell_length_a 4.3873
_cell_length_b 4.3873
_cell_length_c 29.6329
_cell_angle_alpha 90.00
_cell_angle_beta 90.00
_cell_angle_gamma 120.00
loop_
_atom_site_label
_atom_site_type_symbol
_atom_site_fract_x
_atom_site_fract_y
_atom_site_fract_z
Ba1 Ba 0.0000 0.0000 0.0716
Zn1 Zn 0.0000 0.0000 0.1824
Cu1 Cu 0.0000 0.0000 0.5000
# D(E_F) (states/eV/cell): 16.53
# Crystal system: trigonal

Name the least stable of them. version B.

Version A
# BaZn4Cu (PBE-GGA, optimized geometry)
data_BaZn4Cu
_chemical_formula_sum 'Ba4 Zn16 Cu4'
_symmetry_space_group_name_H-M 'F -4 3 m'
_symmetry_Int_Tables_number 216
_symmetry_space_group_name_Hall 'F -4 2 3'
_cell_length_a 7.8563
_cell_length_b 7.8563
_cell_length_c 7.8563
_cell_angle_alpha 90.00
_cell_angle_beta 90.00
_cell_angle_gamma 90.00
loop_
_atom_site_label
_atom_site_type_symbol
_atom_site_fract_x
_atom_site_fract_y
_atom_site_fract_z
Ba1 Ba 0.0000 0.0000 0.0000
Zn1 Zn 0.1223 0.1223 0.3777
Cu1 Cu 0.2500 0.2500 0.7500
# D(E_F) (states/eV/cell): 14.68
# Crystal system: cubic

Version B
# BaZn4Cu (PBE-GGA, optimized geometry)
data_BaZn4Cu
_chemical_formula_sum 'Ba4 Zn16 Cu4'
_symmetry_space_group_name_H-M 'C 1 2/m 1'
_symmetry_Int_Tables_number 12
_cell_length_a 10.6276
_cell_length_b 7.1017
_cell_length_c 7.0215
_cell_angle_alpha 90.00
_cell_angle_beta 109.82
_cell_angle_gamma 90.00
loop_
_symmetry_equiv_pos_as_xyz
'x,y,z'
'-x,-y,-z'
'-x,y,-z'
'x,-y,z'
'x+1/2,y+1/2,z'
'-x+1/2,-y+1/2,-z'
'-x+1/2,y+1/2,-z'
'x+1/2,-y+1/2,z'
loop_
_atom_site_label
_atom_site_type_symbol
_atom_site_fract_x
_atom_site_fract_y
_atom_site_fract_z
Ba1 Ba 0.1663 0.0000 0.3049
Zn1 Zn 0.0000 0.3137 0.5000
Zn2 Zn 0.1157 0.3068 0.9271
Zn3 Zn 0.1848 0.0000 0.7907
Cu1 Cu 0.0862 0.5000 0.2420
# D(E_F) (states/eV/cell): 11.20
# Crystal system: monoclinic

Name the least stable of them. version A.

Version A
# BaZrCu2 (PBE-GGA, optimized geometry)
data_BaZrCu2
_chemical_formula_sum 'Ba4 Zr4 Cu8'
_symmetry_space_group_name_H-M 'F -4 3 m'
_symmetry_Int_Tables_number 216
_symmetry_space_group_name_Hall 'F -4 2 3'
_cell_length_a 6.9212
_cell_length_b 6.9212
_cell_length_c 6.9212
_cell_angle_alpha 90.00
_cell_angle_beta 90.00
_cell_angle_gamma 90.00
loop_
_atom_site_label
_atom_site_type_symbol
_atom_site_fract_x
_atom_site_fract_y
_atom_site_fract_z
Ba1 Ba 0.0000 0.0000 0.0000
Zr1 Zr 0.2500 0.2500 0.2500
Cu1 Cu 0.0000 0.0000 0.5000
Cu2 Cu 0.2500 0.2500 0.7500
# D(E_F) (states/eV/cell): 4.83
# Crystal system: cubic

Version B
# BaZrCu2 (PBE-GGA, optimized geometry)
data_BaZrCu2
_chemical_formula_sum 'Ba2 Zr2 Cu4'
_symmetry_space_group_name_H-M 'I m m m'
_symmetry_Int_Tables_number 71
_symmetry_space_group_name_Hall '-I 2 2'
_cell_length_a 4.7916
_cell_length_b 5.6795
_cell_length_c 7.1810
_cell_angle_alpha 90.00
_cell_angle_beta 90.00
_cell_angle_gamma 90.00
loop_
_atom_site_label
_atom_site_type_symbol
_atom_site_fract_x
_atom_site_fract_y
_atom_site_fract_z
Ba1 Ba 0.0000 0.0000 0.0000
Zr1 Zr 0.0000 0.0000 0.5000
Cu1 Cu 0.0000 0.5000 0.1946
# D(E_F) (states/eV/cell): 8.77
# Crystal system: orthorhombic

Name the least stable of them. version A.

Version A
# BaZrCu2 (PBE-GGA, optimized geometry)
data_BaZrCu2
_chemical_formula_sum 'Ba1 Zr1 Cu2'
_symmetry_space_group_name_H-M 'P 4/m m m'
_symmetry_Int_Tables_number 123
_symmetry_space_group_name_Hall '-P 4 2'
_cell_length_a 5.1983
_cell_length_b 5.1983
_cell_length_c 3.2947
_cell_angle_alpha 90.00
_cell_angle_beta 90.00
_cell_angle_gamma 90.00
loop_
_atom_site_label
_atom_site_type_symbol
_atom_site_fract_x
_atom_site_fract_y
_atom_site_fract_z
Ba1 Ba 0.0000 0.0000 0.0000
Zr1 Zr 0.5000 0.5000 0.0000
Cu1 Cu 0.0000 0.5000 0.5000
# D(E_F) (states/eV/cell): 4.14
# Crystal system: tetragonal

Version B
# BaZrCu2 (PBE-GGA, optimized geometry)
data_BaZrCu2
_chemical_formula_sum 'Ba2 Zr2 Cu4'
_symmetry_space_group_name_H-M 'I -4 m 2'
_symmetry_Int_Tables_number 119
_symmetry_space_group_name_Hall 'I -4 -2'
_cell_length_a 4.1705
_cell_length_b 4.1705
_cell_length_c 10.3386
_cell_angle_alpha 90.00
_cell_angle_beta 90.00
_cell_angle_gamma 90.00
loop_
_atom_site_label
_atom_site_type_symbol
_atom_site_fract_x
_atom_site_fract_y
_atom_site_fract_z
Ba1 Ba 0.0000 0.0000 0.0000
Zr1 Zr 0.0000 0.5000 0.2500
Cu1 Cu 0.0000 0.0000 0.5000
Cu2 Cu 0.0000 0.5000 0.7500
# D(E_F) (states/eV/cell): 11.88
# Crystal system: tetragonal

Name the least stable of them. version B.